Record 1
The following is a PBE-GGA calculation of a relaxed TbCePm2Te5 crystal, from Alexandria.

```
data_TbCePm2Te5
_cell_length_a 5.562
_cell_length_b 5.562
_cell_length_c 11.912
_cell_angle_alpha 90.00
_cell_angle_beta 90.00
_cell_angle_gamma 90.00
_symmetry_space_group_name_H-M 'P 4/m m m'
_symmetry_Int_Tables_number 123
_symmetry_space_group_name_Hall '-P 4 2'
loop_
_atom_site_label
_atom_site_type_symbol
_atom_site_fract_x
_atom_site_fract_y
_atom_site_fract_z
_atom_site_occupancy
Tb1 Tb 0.000 0.000 0.000 1
Ce1 Ce 0.000 0.000 0.500 1
Pm1 Pm 0.500 0.500 0.153 1
Te1 Te 0.000 0.000 0.248 1
Te2 Te 0.000 0.500 0.000 1
Te3 Te 0.500 0.500 0.500 1
```

- energy relative to the elements, uncorrected (kJ/mol of formula units) = -686
- crystal system = tetragonal
- calculated total energy (eV/atom) = -4.765

=====

Record 2
The following is a PBE-GGA calculation of a relaxed Tb2CePm3Te6 crystal, from Alexandria.

```
data_Tb2CePm3Te6
_cell_length_a 19.333
_cell_length_b 4.413
_cell_length_c 8.937
_cell_angle_alpha 90.00
_cell_angle_beta 103.17
_cell_angle_gamma 90.00
_symmetry_space_group_name_H-M 'C 1 2/m 1'
_symmetry_Int_Tables_number 12
loop_
_symmetry_equiv_pos_as_xyz
'x,y,z'
'-x,-y,-z'
'-x,y,-z'
'x,-y,z'
'x+1/2,y+1/2,z'
'-x+1/2,-y+1/2,-z'
'-x+1/2,y+1/2,-z'
'x+1/2,-y+1/2,z'
loop_
_atom_site_label
_atom_site_type_symbol
_atom_site_fract_x
_atom_site_fract_y
_atom_site_fract_z
_atom_site_occupancy
Tb1 Tb 0.166 0.000 0.331 1
Ce1 Ce 0.000 0.500 0.000 1
Pm1 Pm 0.000 0.500 0.500 1
Pm2 Pm 0.164 0.000 0.833 1
Te1 Te 0.003 0.000 0.253 1
Te2 Te 0.168 0.500 0.089 1
Te3 Te 0.169 0.500 0.579 1
```

- energy relative to the elements, uncorrected (kJ/mol of formula units) = -1589
- crystal system = monoclinic
- calculated total energy (eV/atom) = -5.397

=====

Record 3
The following is a PBE-GGA calculation of a relaxed TbCe3Pm3Te8 crystal, from Alexandria.

```
data_TbCe3Pm3Te8
_cell_length_a 8.9273
_cell_length_b 8.9273
_cell_length_c 21.8669
_cell_angle_alpha 90.00
_cell_angle_beta 90.00
_cell_angle_gamma 120.00
_symmetry_space_group_name_H-M 'R -3 m'
_symmetry_Int_Tables_number 166
_symmetry_space_group_name_Hall '-R 3 2"'
loop_
_atom_site_label
_atom_site_type_symbol
_atom_site_fract_x
_atom_site_fract_y
_atom_site_fract_z
_atom_site_occupancy
Tb1 Tb 0.0000 0.0000 0.0000 1
Ce1 Ce 0.0000 0.5000 0.0000 1
Pm1 Pm 0.0000 0.5000 0.5000 1
Te1 Te 0.0000 0.0000 0.2494 1
Te2 Te 0.9997 0.4998 0.2494 1
```

- energy relative to the elements, uncorrected (kJ/mol of formula units) = -2058
- crystal system = trigonal
- calculated total energy (eV/atom) = -5.543

=====

Record 4
The following is a PBE-GGA calculation of a relaxed TbCePm2Tl4 crystal, from Alexandria.

```
data_TbCePm2Tl4
_cell_length_a 5.4684
_cell_length_b 5.4684
_cell_length_c 26.9084
_cell_angle_alpha 90.00
_cell_angle_beta 90.00
_cell_angle_gamma 120.00
_symmetry_space_group_name_H-M 'R -3 m'
_symmetry_Int_Tables_number 166
_symmetry_space_group_name_Hall '-R 3 2"'
loop_
_atom_site_label
_atom_site_type_symbol
_atom_site_fract_x
_atom_site_fract_y
_atom_site_fract_z
_atom_site_occupancy
Tb1 Tb 0.0000 0.0000 0.0000 1
Ce1 Ce 0.0000 0.0000 0.5000 1
Pm1 Pm 0.0000 0.0000 0.2508 1
Tl1 Tl 0.0000 0.0000 0.1240 1
Tl2 Tl 0.0000 0.0000 0.3741 1
```

- crystal system = trigonal
- calculated total energy (eV/atom) = -4.018
- E_form (eV/atom) = -0.3264

=====

Record 5
The following is a PBE-GGA calculation of a relaxed TbCePmTl crystal, from Alexandria.

```
data_TbCePmTl
_cell_length_a 7.730
_cell_length_b 7.730
_cell_length_c 7.730
_cell_angle_alpha 90.00
_cell_angle_beta 90.00
_cell_angle_gamma 90.00
_symmetry_space_group_name_H-M 'F -4 3 m'
_symmetry_Int_Tables_number 216
_symmetry_space_group_name_Hall 'F -4 2 3'
loop_
_atom_site_label
_atom_site_type_symbol
_atom_site_fract_x
_atom_site_fract_y
_atom_site_fract_z
_atom_site_occupancy
Tb1 Tb 0.000 0.000 0.000 1
Ce1 Ce 0.250 0.250 0.750 1
Pm1 Pm 0.000 0.000 0.500 1
Tl1 Tl 0.250 0.250 0.250 1
```

- crystal system = cubic
- calculated total energy (eV/atom) = -4.416
- E_form (eV/atom) = 0.0044

=====

Record 6
The following is a PBE-GGA calculation of a relaxed TbCe2PmTl4 crystal, from Alexandria.

```
data_TbCe2PmTl4
_cell_length_a 5.4781
_cell_length_b 5.4781
_cell_length_c 26.8726
_cell_angle_alpha 90.00
_cell_angle_beta 90.00
_cell_angle_gamma 120.00
_symmetry_space_group_name_H-M 'R -3 m'
_symmetry_Int_Tables_number 166
_symmetry_space_group_name_Hall '-R 3 2"'
loop_
_atom_site_label
_atom_site_type_symbol
_atom_site_fract_x
_atom_site_fract_y
_atom_site_fract_z
_atom_site_occupancy
Tb1 Tb 0.0000 0.0000 0.0000 1
Ce1 Ce 0.0000 0.0000 0.2504 1
Pm1 Pm 0.0000 0.0000 0.5000 1
Tl1 Tl 0.0000 0.0000 0.1242 1
Tl2 Tl 0.0000 0.0000 0.3743 1
```

- crystal system = trigonal
- calculated total energy (eV/atom) = -4.126
- E_form (eV/atom) = -0.2869

=====

Record 7
The following is a PBE-GGA calculation of a relaxed TbCePm2Tm crystal, from Alexandria.

```
data_TbCePm2Tm
_cell_length_a 6.668
_cell_length_b 8.149
_cell_length_c 6.112
_cell_angle_alpha 90.00
_cell_angle_beta 90.21
_cell_angle_gamma 90.00
_symmetry_space_group_name_H-M 'P 1 2/c 1'
_symmetry_Int_Tables_number 13
loop_
_symmetry_equiv_pos_as_xyz
'x,y,z'
'-x,-y,-z'
'-x,y,-z+1/2'
'x,-y,z+1/2'
loop_
_atom_site_label
_atom_site_type_symbol
_atom_site_fract_x
_atom_site_fract_y
_atom_site_fract_z
_atom_site_occupancy
Tb1 Tb 0.000 0.147 0.250 1
Ce1 Ce 0.000 0.500 0.000 1
Pm1 Pm 0.264 0.190 0.751 1
Tm1 Tm 0.500 0.376 0.250 1
```

- crystal system = monoclinic
- calculated total energy (eV/atom) = -4.622
- E_form (eV/atom) = 0.2854

=====

Record 8
The following is a PBE-GGA calculation of a relaxed Tb6CePm2Tm3 crystal, from Alexandria.

```
data_Tb6CePm2Tm3
_cell_length_a 6.163
_cell_length_b 10.674
_cell_length_c 11.781
_cell_angle_alpha 90.00
_cell_angle_beta 100.05
_cell_angle_gamma 90.00
_symmetry_space_group_name_H-M 'C 1 2/m 1'
_symmetry_Int_Tables_number 12
loop_
_symmetry_equiv_pos_as_xyz
'x,y,z'
'-x,-y,-z'
'-x,y,-z'
'x,-y,z'
'x+1/2,y+1/2,z'
'-x+1/2,-y+1/2,-z'
'-x+1/2,y+1/2,-z'
'x+1/2,-y+1/2,z'
loop_
_atom_site_label
_atom_site_type_symbol
_atom_site_fract_x
_atom_site_fract_y
_atom_site_fract_z
_atom_site_occupancy
Tb1 Tb 0.247 0.000 0.247 1
Tb2 Tb 0.250 0.165 0.753 1
Ce1 Ce 0.000 0.000 0.500 1
Pm1 Pm 0.000 0.333 0.500 1
Tm1 Tm 0.000 0.167 0.000 1
Tm2 Tm 0.000 0.500 0.000 1
```

- crystal system = monoclinic
- calculated total energy (eV/atom) = -4.679
- E_form (eV/atom) = 0.0404

=====

Record 9
The following is a PBE-GGA calculation of a relaxed Tb5CePm2Tm crystal, from Alexandria.

```
data_Tb5CePm2Tm
_cell_length_a 5.628
_cell_length_b 20.551
_cell_length_c 10.251
_cell_angle_alpha 90.00
_cell_angle_beta 90.00
_cell_angle_gamma 90.00
_symmetry_space_group_name_H-M 'C m c 21'
_symmetry_Int_Tables_number 36
loop_
_symmetry_equiv_pos_as_xyz
'x,y,z'
'-x,-y,z+1/2'
'-x,y,z'
'x,-y,z+1/2'
'x+1/2,y+1/2,z'
'-x+1/2,-y+1/2,z+1/2'
'-x+1/2,y+1/2,z'
'x+1/2,-y+1/2,z+1/2'
loop_
_atom_site_label
_atom_site_type_symbol
_atom_site_fract_x
_atom_site_fract_y
_atom_site_fract_z
_atom_site_occupancy
Tb1 Tb 0.000 0.015 0.000 1
Tb2 Tb 0.000 0.273 0.299 1
Tb3 Tb 0.000 0.300 0.687 1
Tb4 Tb 0.000 0.387 0.010 1
Tb5 Tb 0.000 0.479 0.724 1
Ce1 Ce 0.000 0.197 0.997 1
Pm1 Pm 0.000 0.114 0.301 1
Pm2 Pm 0.000 0.118 0.711 1
Tm1 Tm 0.000 0.407 0.433 1
```

- crystal system = orthorhombic
- calculated total energy (eV/atom) = -4.619
- E_form (eV/atom) = 0.1650

=====

Record 10
The following is a PBE-GGA calculation of a relaxed Tb5CePmTm2 crystal, from Alexandria.

```
data_Tb5CePmTm2
_cell_length_a 5.695
_cell_length_b 21.443
_cell_length_c 9.593
_cell_angle_alpha 90.00
_cell_angle_beta 90.00
_cell_angle_gamma 90.00
_symmetry_space_group_name_H-M 'C m c 21'
_symmetry_Int_Tables_number 36
loop_
_symmetry_equiv_pos_as_xyz
'x,y,z'
'-x,-y,z+1/2'
'-x,y,z'
'x,-y,z+1/2'
'x+1/2,y+1/2,z'
'-x+1/2,-y+1/2,z+1/2'
'-x+1/2,y+1/2,z'
'x+1/2,-y+1/2,z+1/2'
loop_
_atom_site_label
_atom_site_type_symbol
_atom_site_fract_x
_atom_site_fract_y
_atom_site_fract_z
_atom_site_occupancy
Tb1 Tb 0.000 0.013 0.000 1
Tb2 Tb 0.000 0.267 0.683 1
Tb3 Tb 0.000 0.305 0.301 1
Tb4 Tb 0.000 0.393 0.974 1
Tb5 Tb 0.000 0.471 0.268 1
Ce1 Ce 0.000 0.193 0.991 1
Pm1 Pm 0.000 0.403 0.591 1
Tm1 Tm 0.000 0.114 0.691 1
Tm2 Tm 0.000 0.135 0.308 1
```

- crystal system = orthorhombic
- calculated total energy (eV/atom) = -4.579
- E_form (eV/atom) = 0.1744

=====

no.,theoretical density (g/cm3)
1,5.53
2,7.42
3,6.72
4,10.06
5,9.33
6,10.00
7,7.58
8,8.23
9,7.81
10,8.04